Record 1
Entry from Alexandria via LeMat-Bulk: a relaxed structure of Ag6P7 (PBE).

Lattice parameters (Å, degrees): 11.167 11.167 11.167 26.53 26.53 26.53
Fractional coordinates of all 13 atoms:
1 Ag 0.041 0.041 0.041
2 Ag 0.182 0.182 0.182
3 Ag 0.321 0.321 0.321
4 Ag 0.679 0.679 0.679
5 Ag 0.818 0.818 0.818
6 Ag 0.959 0.959 0.959
7 P 0.134 0.562 0.562
8 P 0.438 0.438 0.866
9 P 0.438 0.866 0.438
10 P 0.500 0.500 0.500
11 P 0.562 0.134 0.562
12 P 0.562 0.562 0.134
13 P 0.866 0.438 0.438

## Properties
As for the volume: 244.9 Å³ per cell. The calculation puts the energy of formation at 0.438 eV per atom. The value obtained for the density of states at the Fermi level is 5.40 states/eV per cell.

=====

Record 2
Entry from Alexandria via LeMat-Bulk: a relaxed structure of AgP15 (PBE).

Lattice parameters (Å, degrees): 7.355 9.197 11.839 102.21 93.35 108.75
Fractional coordinates of all 32 atoms:
1 Ag 0.135 0.283 0.482
2 Ag 0.865 0.717 0.518
3 P 0.038 0.453 0.213
4 P 0.052 0.834 0.362
5 P 0.099 0.223 0.819
6 P 0.119 0.666 0.657
7 P 0.159 0.836 0.089
8 P 0.195 0.483 0.874
9 P 0.203 0.084 0.176
10 P 0.232 0.678 0.330
11 P 0.273 0.078 0.361
12 P 0.302 0.885 0.788
13 P 0.333 0.559 0.599
14 P 0.388 0.777 0.196
15 P 0.443 0.552 0.772
16 P 0.468 0.005 0.666
17 P 0.485 0.200 0.122
18 P 0.515 0.800 0.878
19 P 0.532 0.995 0.334
20 P 0.557 0.448 0.228
21 P 0.612 0.223 0.804
22 P 0.667 0.441 0.401
23 P 0.698 0.115 0.212
24 P 0.727 0.922 0.639
25 P 0.768 0.322 0.670
26 P 0.797 0.916 0.824
27 P 0.805 0.517 0.126
28 P 0.841 0.164 0.911
29 P 0.881 0.334 0.343
30 P 0.901 0.777 0.181
31 P 0.948 0.166 0.638
32 P 0.962 0.547 0.787

## Properties
As for the volume: 734.2 Å³ per cell. The calculation puts the energy of formation at 0.010 eV per atom.

=====

Record 3
Entry from Alexandria via LeMat-Bulk: a relaxed structure of AgP (PBE).

Lattice parameters (Å, degrees): 4.157 4.157 16.626 90.00 90.00 120.00
Fractional coordinates of all 12 atoms:
1 Ag 0.000 0.000 0.226
2 Ag 0.000 0.000 0.774
3 Ag 0.333 0.667 0.559
4 Ag 0.333 0.667 0.892
5 Ag 0.667 0.333 0.108
6 Ag 0.667 0.333 0.441
7 P 0.000 0.000 0.062
8 P 0.000 0.000 0.938
9 P 0.333 0.667 0.269
10 P 0.333 0.667 0.394
11 P 0.667 0.333 0.606
12 P 0.667 0.333 0.731

## Properties
As for the volume: 248.8 Å³ per cell. The calculation puts the energy of formation at 0.207 eV per atom. The value obtained for the density of states at the Fermi level is 5.94 states/eV per cell. As for the offset from the most stable computed form: 0.091 eV per atom.

=====

Record 4
Entry from Alexandria via LeMat-Bulk: a relaxed structure of AgP (PBE).

Lattice parameters (Å, degrees): 7.654 7.654 7.654 90.00 90.00 90.00
Fractional coordinates of all 16 atoms:
1 Ag 0.184 0.184 0.816
2 Ag 0.184 0.816 0.184
3 Ag 0.316 0.316 0.316
4 Ag 0.316 0.684 0.684
5 Ag 0.684 0.316 0.684
6 Ag 0.684 0.684 0.316
7 Ag 0.816 0.184 0.184
8 Ag 0.816 0.816 0.816
9 P 0.138 0.138 0.138
10 P 0.138 0.862 0.862
11 P 0.362 0.362 0.638
12 P 0.362 0.638 0.362
13 P 0.638 0.362 0.362
14 P 0.638 0.638 0.638
15 P 0.862 0.138 0.862
16 P 0.862 0.862 0.138

## Properties
As for the volume: 448.4 Å³ per cell. The calculation puts the energy of formation at 0.672 eV per atom. The value obtained for the density of states at the Fermi level is 10.18 states/eV per cell. As for the offset from the most stable computed form: 0.557 eV per atom.